# 1
Computed, not measured: an optimized crystal structure of FeTcH2 at the PBE level of DFT.

a b c (Å): 2.881 2.881 5.062
angles (deg): 73.47 73.47 60.00
Site moments in Bohr magnetons follow the coordinates.
Sites, in units of the cell vectors:
Tc  0.500  0.500  0.500  -0.07
Fe  0.000  0.000  0.000  2.65
H  0.885  0.885  0.346  -0.01
H  0.115  0.115  0.654  -0.01

## Properties
crystal system = trigonal
space group = R-3m (166)
polymorph energy (0 for the lowest one) = 228 meV per atom
spin magnetization = 2.52 μB per cell

---

# 2
Computed, not measured: an optimized crystal structure of Fe2TcH2 at the PBE level of DFT.

a b c (Å): 3.159 3.159 4.673
angles (deg): 70.25 70.25 90.00
Site moments in Bohr magnetons follow the coordinates.
Sites, in units of the cell vectors:
H  0.250  0.750  0.500  -0.02
H  0.750  0.250  0.500  -0.02
Fe  0.336  0.336  0.328  1.37
Fe  0.664  0.664  0.672  1.37
Tc  0.000  0.000  0.000  -0.24

## Properties
crystal system = tetragonal
space group = I4/mmm (139)
polymorph energy (0 for the lowest one) = 0 meV per atom
spin magnetization = 2.44 μB per cell

---

> Among the records above, which one has the lowest spin magnetization?

Fe2TcH2